Record 1
Computed, not measured: LiDy6Ru5 after structural relaxation at the PBE level of DFT.

Computed properties:
Density ... 10.27 g cm⁻³
Spin magnetization ... 0.00 μB/atom
Calculated formation energy ... -0.327 eV/atom
DOS at the Fermi energy ... 7.238 states/eV/f.u.

Cell lengths 7.655, 7.655, 6.830 Å; angles 90.00, 90.00, 143.07 degrees
Atoms (fractional coordinates):
Li: 0.000 0.000 0.000
Dy: 0.171 0.829 0.253
Dy: 0.171 0.829 0.747
Dy: 0.500 0.500 0.259
Dy: 0.500 0.500 0.741
Dy: 0.829 0.171 0.253
Dy: 0.829 0.171 0.747
Ru: 0.000 0.000 0.500
Ru: 0.333 0.667 0.500
Ru: 0.338 0.662 0.000
Ru: 0.662 0.338 0.000
Ru: 0.667 0.333 0.500

=====

Record 2
Computed, not measured: NaCBr3 after structural relaxation at the PBE level of DFT.

Computed properties:
Density ... 2.72 g cm⁻³
Spin magnetization ... 0.00 μB/atom
Formation energy from raw total energies ... 6.243 eV/f.u.
DOS at the Fermi energy ... 7.483 states/eV/f.u.
ΔE to the lowest computed polymorph ... 876 meV/atom

Cell lengths 5.517, 5.517, 5.517 Å; angles 90.00, 90.00, 90.00 degrees
Atoms (fractional coordinates):
Na: 0.000 0.000 0.000
C: 0.500 0.500 0.500
Br: 0.000 0.000 0.500
Br: 0.000 0.500 0.000
Br: 0.500 0.000 0.000

=====

Record 3
Computed, not measured: AsSe3S after structural relaxation at the PBE level of DFT.

Computed properties:
Density ... 4.49 g cm⁻³
Spin magnetization ... 0.29 μB/atom
Formation energy from raw total energies ... 4.464 eV/f.u.
DOS at the Fermi energy ... 5.581 states/eV/f.u.
ΔE to the lowest computed polymorph ... 156 meV/atom

Cell lengths 5.028, 5.028, 5.028 Å; angles 90.00, 90.00, 90.00 degrees
Atoms (fractional coordinates):
As: 0.000 0.000 0.000
Se: 0.000 0.000 0.500
Se: 0.000 0.500 0.000
Se: 0.500 0.000 0.000
S: 0.500 0.500 0.500

=====

Record 4
Computed, not measured: Pm2Sn3PdPt4 after structural relaxation at the PBE level of DFT.

Computed properties:
Density ... 11.82 g cm⁻³
Spin magnetization ... 0.00 μB/atom
Calculated formation energy ... -0.792 eV/atom
DOS at the Fermi energy ... 7.421 states/eV/f.u.

Cell lengths 4.183, 4.183, 12.310 Å; angles 90.00, 90.00, 90.00 degrees
Atoms (fractional coordinates):
Pm: 0.000 0.500 0.226
Pm: 0.500 0.000 0.774
Sn: 0.000 0.000 0.000
Sn: 0.000 0.500 0.635
Sn: 0.500 0.000 0.365
Pd: 0.500 0.500 0.000
Pt: 0.000 0.000 0.500
Pt: 0.000 0.500 0.847
Pt: 0.500 0.000 0.153
Pt: 0.500 0.500 0.500

=====

> Which of these has the lowest density?

NaCBr3